# CeNd2Er3Se6 (PBE, relaxed)
# Formation energy without anion corrections ... -1.774 eV per atom
data_CeNd2Er3Se6
_cell_length_a 18.146
_cell_length_b 4.073
_cell_length_c 8.390
_cell_angle_alpha 90.00
_cell_angle_beta 105.18
_cell_angle_gamma 90.00
_symmetry_space_group_name_H-M 'C 1 2/m 1'
_symmetry_Int_Tables_number 12
loop_
_symmetry_equiv_pos_as_xyz
'x,y,z'
'-x,-y,-z'
'-x,y,-z'
'x,-y,z'
'x+1/2,y+1/2,z'
'-x+1/2,-y+1/2,-z'
'-x+1/2,y+1/2,-z'
'x+1/2,-y+1/2,z'
loop_
_atom_site_label
_atom_site_type_symbol
_atom_site_fract_x
_atom_site_fract_y
_atom_site_fract_z
Ce1 Ce 0.000 0.000 0.000
Nd1 Nd 0.166 0.500 0.332
Er1 Er 0.000 0.000 0.500
Er2 Er 0.167 0.500 0.835
Se1 Se 0.004 0.500 0.741
Se2 Se 0.163 0.000 0.594
Se3 Se 0.170 0.000 0.073